CaTlW2: optimized geometry, GGA-PBE.

Lattice parameters (Å, degrees): 4.885 4.044 4.044 90.00 90.00 90.00
Atoms (fractional coordinates):
Tl 0.500 0.000 0.500
W 0.000 0.000 0.000
W 0.000 0.500 0.500
Ca 0.500 0.500 0.000

Output
As for the space-group type: P4/mmm (123). Its calculated density is 12.72 Mg/m³. The value obtained for the formation energy is 3.73 eV per formula unit. As for the magnetic moment: 0.000 μB/f.u. For the raw total energy, the calculation gives -26.55 eV per cell. The crystal system is tetragonal. The value obtained for the energy above the lowest structure with this stoichiometry is 491 meV/atom.